## i
# Tl2InSb PBE relaxed
data_Tl2InSb
_chemical_formula_sum 'Tl4 In2 Sb2'
_space_group_name_H-M_alt 'C m m 2'
_space_group_IT_number 35
_cell_length_a 4.305
_cell_length_b 5.279
_cell_length_c 10.442
_cell_angle_alpha 90.00
_cell_angle_beta 90.00
_cell_angle_gamma 90.00
loop_
_space_group_symop_operation_xyz
'x,y,z'
'-x,-y,z'
'-x,y,z'
'x,-y,z'
'x+1/2,y+1/2,z'
'-x+1/2,-y+1/2,z'
'-x+1/2,y+1/2,z'
'x+1/2,-y+1/2,z'
loop_
_atom_site_label
_atom_site_type_symbol
_atom_site_fract_x
_atom_site_fract_y
_atom_site_fract_z
Tl1 Tl 0.000 0.000 0.000
Tl2 Tl 0.000 0.500 0.269
In1 In 0.000 0.500 0.748
Sb1 Sb 0.000 0.000 0.518
# **Crystal system**: orthorhombic
# **Calculated volume**: 237.3 Å³ per cell
# **Magnetic moment**: 0.0 Bohr magnetons per cell

## ii
# Tl2InSb PBE relaxed
data_Tl2InSb
_chemical_formula_sum 'Tl8 In4 Sb4'
_space_group_name_H-M_alt 'I -4 2 d'
_space_group_IT_number 122
_space_group_name_Hall 'I -4 2bw'
_cell_length_a 7.270
_cell_length_b 7.270
_cell_length_c 12.054
_cell_angle_alpha 90.00
_cell_angle_beta 90.00
_cell_angle_gamma 90.00
loop_
_atom_site_label
_atom_site_type_symbol
_atom_site_fract_x
_atom_site_fract_y
_atom_site_fract_z
Tl1 Tl 0.244 0.250 0.125
In1 In 0.000 0.000 0.500
Sb1 Sb 0.000 0.000 0.000
# **Crystal system**: tetragonal
# **Calculated volume**: 637.0 Å³ per cell
# **Magnetic moment**: 0.0 Bohr magnetons per cell

The calculated energies rank the structures as follows, beginning with the most stable: i, ii.

## i
# Tl2InSb PBE relaxed
data_Tl2InSb
_chemical_formula_sum 'Tl4 In2 Sb2'
_space_group_name_H-M_alt 'I 4/m m m'
_space_group_IT_number 139
_space_group_name_Hall '-I 4 2'
_cell_length_a 4.930
_cell_length_b 4.930
_cell_length_c 9.851
_cell_angle_alpha 90.00
_cell_angle_beta 90.00
_cell_angle_gamma 90.00
loop_
_atom_site_label
_atom_site_type_symbol
_atom_site_fract_x
_atom_site_fract_y
_atom_site_fract_z
Tl1 Tl 0.000 0.500 0.250
In1 In 0.000 0.000 0.000
Sb1 Sb 0.000 0.000 0.500
# **Crystal system**: tetragonal
# **Calculated volume**: 239.4 Å³ per cell
# **Magnetic moment**: 0.0 Bohr magnetons per cell

## ii
# Tl2InSb PBE relaxed
data_Tl2InSb
_chemical_formula_sum 'Tl8 In4 Sb4'
_space_group_name_H-M_alt 'F m -3 m'
_space_group_IT_number 225
_space_group_name_Hall '-F 4 2 3'
_cell_length_a 7.829
_cell_length_b 7.829
_cell_length_c 7.829
_cell_angle_alpha 90.00
_cell_angle_beta 90.00
_cell_angle_gamma 90.00
loop_
_atom_site_label
_atom_site_type_symbol
_atom_site_fract_x
_atom_site_fract_y
_atom_site_fract_z
Tl1 Tl 0.250 0.250 0.250
In1 In 0.000 0.000 0.000
Sb1 Sb 0.000 0.000 0.500
# **Crystal system**: cubic
# **Calculated volume**: 479.9 Å³ per cell
# **Magnetic moment**: 0.0 Bohr magnetons per cell

The calculated energies rank the structures as follows, beginning with the most stable: i, ii.

## i
# TlInSb2 PBE relaxed
data_TlInSb2
_chemical_formula_sum 'Tl2 In2 Sb4'
_space_group_name_H-M_alt 'I 4/m m m'
_space_group_IT_number 139
_space_group_name_Hall '-I 4 2'
_cell_length_a 4.636
_cell_length_b 4.636
_cell_length_c 10.838
_cell_angle_alpha 90.00
_cell_angle_beta 90.00
_cell_angle_gamma 90.00
loop_
_atom_site_label
_atom_site_type_symbol
_atom_site_fract_x
_atom_site_fract_y
_atom_site_fract_z
Tl1 Tl 0.000 0.000 0.000
In1 In 0.000 0.000 0.500
Sb1 Sb 0.000 0.500 0.250
# **Crystal system**: tetragonal
# **Calculated volume**: 232.9 Å³ per cell
# **Magnetic moment**: 0.0 Bohr magnetons per cell

## ii
# TlInSb2 PBE relaxed
data_TlInSb2
_chemical_formula_sum 'Tl1 In1 Sb2'
_space_group_name_H-M_alt 'P 4/m m m'
_space_group_IT_number 123
_space_group_name_Hall '-P 4 2'
_cell_length_a 4.672
_cell_length_b 4.672
_cell_length_c 5.331
_cell_angle_alpha 90.00
_cell_angle_beta 90.00
_cell_angle_gamma 90.00
loop_
_atom_site_label
_atom_site_type_symbol
_atom_site_fract_x
_atom_site_fract_y
_atom_site_fract_z
Tl1 Tl 0.000 0.000 0.000
In1 In 0.500 0.500 0.000
Sb1 Sb 0.000 0.500 0.500
# **Crystal system**: tetragonal
# **Calculated volume**: 116.4 Å³ per cell
# **Magnetic moment**: 0.0 Bohr magnetons per cell

The calculated energies rank the structures as follows, beginning with the most stable: ii, i.